{
  "formula": "Mg2SiAu",
  "functional": "PBE-GGA",
  "state": "relaxed",
  "n_ef_per_ev_cell": 2.203,
  "raw_formation_energy_mev_per_atom": 29.2,
  "spacegroup": "R3m",
  "lattice_angstrom": [[1.645, 0.950, 8.611], [-1.645, 0.950, 8.611], [0.000, -1.899, 8.611]],
  "species": ["Mg", "Mg", "Si", "Au"],
  "fractional_positions": [[0.000, 0.000, 0.000], [0.231, 0.231, 0.231], [0.750, 0.750, 0.750], [0.483, 0.483, 0.483]]
}

=====

{
  "formula": "LiCa2PmS4",
  "functional": "PBE-GGA",
  "state": "relaxed",
  "n_ef_per_ev_cell": 0.000,
  "raw_formation_energy_mev_per_atom": -1953.3,
  "spacegroup": "P2/m",
  "lattice_angstrom": [[6.857, 0.000, 0.000], [0.000, 4.042, 0.000], [-2.230, 0.000, 6.559]],
  "species": ["Li", "Ca", "Ca", "Pm", "S", "S", "S", "S"],
  "fractional_positions": [[0.000, 0.000, 0.000], [0.000, 0.500, 0.500], [0.500, 0.000, 0.500], [0.500, 0.500, 0.000], [0.249, 0.000, 0.756], [0.251, 0.500, 0.249], [0.749, 0.500, 0.751], [0.751, 0.000, 0.244]]
}

=====

{
  "formula": "Li8PrGa4",
  "functional": "PBE-GGA",
  "state": "relaxed",
  "n_ef_per_ev_cell": 3.737,
  "spacegroup": "I4/mmm",
  "lattice_angstrom": [[-4.609, 4.609, 2.728], [4.609, -4.609, 2.728], [4.609, 4.609, -2.728]],
  "species": ["Li", "Li", "Li", "Li", "Li", "Li", "Li", "Li", "Pr", "Ga", "Ga", "Ga", "Ga"],
  "fractional_positions": [[0.000, 0.223, 0.223], [0.000, 0.777, 0.777], [0.154, 0.500, 0.654], [0.223, 0.000, 0.223], [0.500, 0.154, 0.654], [0.500, 0.846, 0.346], [0.777, 0.000, 0.777], [0.846, 0.500, 0.346], [0.500, 0.500, 0.000], [0.000, 0.000, 0.500], [0.000, 0.500, 0.000], [0.500, 0.000, 0.000], [0.500, 0.500, 0.500]]
}

=====

{
  "formula": "CuSb2PbS4",
  "functional": "PBE-GGA",
  "state": "relaxed",
  "n_ef_per_ev_cell": 1.305,
  "raw_formation_energy_mev_per_atom": -180.0,
  "spacegroup": "Fmm2",
  "lattice_angstrom": [[0.000, 5.340, 3.859], [4.501, 0.000, 3.859], [4.501, 5.340, 0.000]],
  "species": ["Cu", "Sb", "Sb", "Pb", "S", "S", "S", "S"],
  "fractional_positions": [[0.000, 0.000, 0.000], [0.310, 0.310, 0.190], [0.810, 0.810, 0.690], [0.552, 0.552, 0.448], [0.048, 0.623, 0.952], [0.344, 0.910, 0.090], [0.623, 0.048, 0.377], [0.910, 0.344, 0.656]]
}

=====

{
  "formula": "Tm2CuBi",
  "functional": "PBE-GGA",
  "state": "relaxed",
  "relative_energy_ev_per_fu": 0.000,
  "n_ef_per_ev_cell": 7.745,
  "spacegroup": "P2_1/m",
  "lattice_angstrom": [[6.126, 0.000, 0.000], [0.000, 4.184, 0.000], [-2.741, 0.000, 7.764]],
  "species": ["Tm", "Tm", "Tm", "Tm", "Cu", "Cu", "Bi", "Bi"],
  "fractional_positions": [[0.173, 0.250, 0.408], [0.245, 0.750, 0.055], [0.755, 0.250, 0.945], [0.827, 0.750, 0.592], [0.123, 0.250, 0.790], [0.877, 0.750, 0.210], [0.390, 0.750, 0.711], [0.610, 0.250, 0.289]]
}

=====

{
  "formula": "PrIn4Cu4",
  "functional": "PBE-GGA",
  "state": "relaxed",
  "n_ef_per_ev_cell": 10.897,
  "spacegroup": "P4_2/n",
  "lattice_angstrom": [[8.721, 0.000, 0.000], [0.000, 8.721, 0.000], [0.000, 0.000, 5.254]],
  "species": ["Pr", "Pr", "In", "In", "In", "In", "In", "In", "In", "In", "Cu", "Cu", "Cu", "Cu", "Cu", "Cu", "Cu", "Cu"],
  "fractional_positions": [[0.250, 0.250, 0.250], [0.750, 0.750, 0.750], [0.104, 0.630, 0.143], [0.130, 0.896, 0.643], [0.370, 0.604, 0.643], [0.396, 0.870, 0.143], [0.604, 0.130, 0.857], [0.630, 0.396, 0.357], [0.870, 0.104, 0.357], [0.896, 0.370, 0.857], [0.065, 0.588, 0.642], [0.088, 0.935, 0.142], [0.412, 0.565, 0.142], [0.435, 0.912, 0.642], [0.565, 0.088, 0.358], [0.588, 0.435, 0.858], [0.912, 0.065, 0.858], [0.935, 0.412, 0.358]]
}

=====

{
  "formula": "Cd3Pt13",
  "functional": "PBE-GGA",
  "state": "relaxed",
  "n_ef_per_ev_cell": 23.416,
  "spacegroup": "Amm2",
  "lattice_angstrom": [[8.021, 0.000, 0.000], [0.000, 4.042, 4.019], [0.000, -4.042, 4.019]],
  "species": ["Cd", "Cd", "Cd", "Pt", "Pt", "Pt", "Pt", "Pt", "Pt", "Pt", "Pt", "Pt", "Pt", "Pt", "Pt", "Pt"],
  "fractional_positions": [[0.000, 0.000, 0.000], [0.256, 0.257, 0.257], [0.744, 0.257, 0.257], [0.000, 0.504, 0.999], [0.000, 0.507, 0.507], [0.000, 0.999, 0.504], [0.250, 0.755, 0.755], [0.252, 0.259, 0.754], [0.252, 0.754, 0.259], [0.500, 0.000, 0.000], [0.500, 0.509, 0.509], [0.500, 0.512, 0.998], [0.500, 0.998, 0.512], [0.748, 0.259, 0.754], [0.748, 0.754, 0.259], [0.750, 0.755, 0.755]]
}

=====

{
  "formula": "Sr6Tl3Ga",
  "functional": "PBE-GGA",
  "state": "relaxed",
  "n_ef_per_ev_cell": 11.553,
  "spacegroup": "P2_1/m",
  "lattice_angstrom": [[10.199, 0.000, 0.000], [0.000, 5.789, 0.000], [-4.742, 0.000, 12.274]],
  "species": ["Sr", "Sr", "Sr", "Sr", "Sr", "Sr", "Sr", "Sr", "Sr", "Sr", "Sr", "Sr", "Tl", "Tl", "Tl", "Tl", "Tl", "Tl", "Ga", "Ga"],
  "fractional_positions": [[0.017, 0.250, 0.407], [0.160, 0.750, 0.170], [0.261, 0.250, 0.003], [0.356, 0.750, 0.837], [0.375, 0.250, 0.640], [0.381, 0.250, 0.354], [0.619, 0.750, 0.646], [0.625, 0.750, 0.360], [0.644, 0.250, 0.163], [0.739, 0.750, 0.997], [0.840, 0.250, 0.830], [0.983, 0.750, 0.593], [0.037, 0.750, 0.878], [0.100, 0.250, 0.725], [0.264, 0.750, 0.470], [0.736, 0.250, 0.530], [0.900, 0.750, 0.275], [0.963, 0.250, 0.122], [0.442, 0.750, 0.108], [0.558, 0.250, 0.892]]
}

=====

{
  "formula": "K2TaSe",
  "functional": "PBE-GGA",
  "state": "relaxed",
  "n_ef_per_ev_cell": 3.439,
  "raw_formation_energy_mev_per_atom": 168.9,
  "spacegroup": "P4mm",
  "lattice_angstrom": [[3.407, 0.000, 0.000], [0.000, 3.407, 0.000], [0.000, 0.000, 10.845]],
  "species": ["K", "K", "Ta", "Se"],
  "fractional_positions": [[0.000, 0.000, 0.000], [0.500, 0.500, 0.390], [0.500, 0.500, 0.730], [0.000, 0.000, 0.621]]
}

=====

{
  "formula": "YHoEr5",
  "functional": "PBE-GGA",
  "state": "relaxed",
  "relative_energy_ev_per_fu": 0.000,
  "n_ef_per_ev_cell": 17.522,
  "spacegroup": "C2/c",
  "lattice_angstrom": [[5.790, -3.343, 0.000], [5.790, 3.343, 0.000], [-4.086, 0.000, 11.362]],
  "species": ["Y", "Y", "Ho", "Ho", "Er", "Er", "Er", "Er", "Er", "Er", "Er", "Er", "Er", "Er"],
  "fractional_positions": [[0.000, 0.500, 0.000], [0.500, 0.000, 0.500], [0.027, 0.973, 0.750], [0.973, 0.027, 0.250], [0.140, 0.420, 0.752], [0.191, 0.653, 0.499], [0.347, 0.809, 0.001], [0.417, 0.583, 0.250], [0.420, 0.140, 0.252], [0.580, 0.860, 0.748], [0.583, 0.417, 0.750], [0.653, 0.191, 0.999], [0.809, 0.347, 0.501], [0.860, 0.580, 0.248]]
}

=====

{
  "formula": "Pu3H",
  "functional": "PBE-GGA",
  "state": "relaxed",
  "relative_energy_ev_per_fu": 2.161,
  "n_ef_per_ev_cell": 10.003,
  "spacegroup": "Pm-3m",
  "lattice_angstrom": [[3.992, 0.000, 0.000], [0.000, 3.992, 0.000], [0.000, 0.000, 3.992]],
  "species": ["Pu", "Pu", "Pu", "H"],
  "fractional_positions": [[0.000, 0.000, 0.500], [0.000, 0.500, 0.000], [0.500, 0.000, 0.000], [0.500, 0.500, 0.500]]
}

=====

{
  "formula": "Th2AgPb",
  "functional": "PBE-GGA",
  "state": "relaxed",
  "n_ef_per_ev_cell": 4.013,
  "spacegroup": "P4/mmm",
  "lattice_angstrom": [[3.496, 0.000, 0.000], [0.000, 3.496, 0.000], [0.000, 0.000, 9.117]],
  "species": ["Th", "Th", "Ag", "Pb"],
  "fractional_positions": [[0.000, 0.000, 0.232], [0.000, 0.000, 0.768], [0.500, 0.500, 0.000], [0.500, 0.500, 0.500]]
}

=====

Number 1: energy -2.9431 eV/atom. Number 2: energy -5.3505 eV/atom. Number 3: energy -2.7391 eV/atom. Number 4: energy -4.2499 eV/atom. Number 5: energy -4.6721 eV/atom. Number 6: energy -3.5540 eV/atom. Number 7: energy -5.2120 eV/atom. Number 8: energy -2.3438 eV/atom. Number 9: energy -4.2141 eV/atom. Number 10: energy -4.6425 eV/atom. Number 11: energy -10.8582 eV/atom. Number 12: energy -5.5031 eV/atom.